Material: CdSb2Rh2
Method: DFT, GGA-PBE
State: relaxed

Cell: 6.4808 6.4808 6.4808 Å, 140.30 140.30 57.39°
Fractional positions:
Cd 0.0000 0.0000 0.0000
Sb 0.2500 0.7500 0.5000
Sb 0.7500 0.2500 0.5000
Rh 0.3814 0.3814 0.0000
Rh 0.6186 0.6186 0.0000

energy = -4.76 eV per atom

=====

Material: Tb5Au
Method: DFT, GGA-PBE
State: relaxed

Cell: 7.9310 7.9310 4.8755 Å, 90.00 90.00 146.29°
Fractional positions:
Tb 0.0000 0.0000 0.0000
Tb 0.1585 0.8415 0.5000
Tb 0.3301 0.6699 0.0000
Tb 0.6699 0.3301 0.0000
Tb 0.8415 0.1585 0.5000
Au 0.5000 0.5000 0.5000

energy = -4.55 eV per atom
ΔE_f = -84 kJ/mol of formula units

=====

Q: The lowest energy belongs to which entry?
A: CdSb2Rh2

=====

Q: energy of number 1 (CdSb2Rh2)?
A: -4.76 eV per atom

=====

Q: What is the energy in the second record?
A: -4.55 eV per atom